# 1
TaSi2Mo | Alexandria | PBE | relaxed; size of the total moment = 0.00 μB/cell; energy above the most stable polymorph in this dataset = 183.7 kJ/mol of formula units; E_tot = -33.18 eV for the cell shown; energy relative to the elements, uncorrected = 8.52 kJ per mole of atoms
1.0
2.7592 -0.0047 0.0000
-0.6722 2.6761 0.0000
0.0000 0.0000 8.5390
Mo Si Ta
1 2 1
direct
0.5000 0.5000 0.7617
0.0000 0.0000 0.9904
0.5000 0.5000 0.2555
0.0000 0.0000 0.4924

***

# 2
Na3NbP | Alexandria | PBE | relaxed; size of the total moment = 4.89 μB/cell; energy above the most stable polymorph in this dataset = 0.0 kJ/mol of formula units; E_tot = -14.87 eV for the cell shown
1.0
-4.7826 -2.0437 1.3927
2.4418 -4.3827 1.9541
0.3919 2.3674 4.8199
P Nb Na
1 1 3
direct
0.0000 0.0000 0.0000
0.5000 0.5000 0.5000
0.0000 0.5000 0.0000
0.0000 0.0000 0.5000
0.5000 0.0000 0.0000

***

# 3
HfTe2NF | Alexandria | PBE | relaxed; size of the total moment = 0.31 μB/cell; energy above the most stable polymorph in this dataset = 356.6 kJ/mol of formula units; E_tot = -22.99 eV for the cell shown; energy relative to the elements, uncorrected = 66.41 kJ per mole of atoms
1.0
4.8209 0.0000 0.0000
0.0000 4.8209 0.0000
0.0000 0.0000 4.0226
N Te Hf F
1 2 1 1
direct
0.0000 0.0000 0.5000
0.0000 0.5000 0.0000
0.5000 0.0000 0.0000
0.5000 0.5000 0.5000
0.0000 0.0000 0.0000